Crystalline InMo2O at its relaxed geometry, computed with PBE with a Hubbard U.

a = 4.4627 Å, b = 4.4627 Å, c = 4.4627 Å
α = 60.00°, β = 60.00°, γ = 60.00°
With the nearest neighbours (Å) after each atom.
Element x y z (fractional)
Mo: 0.2500 0.2500 0.2500  4 In 2.73, 4 O 2.73
Mo: 0.7500 0.7500 0.7500  4 In 2.73, 4 O 2.73
O: 0.0000 0.0000 0.0000  8 Mo 2.73
In: 0.5000 0.5000 0.5000  8 Mo 2.73

Calculated values
**VASP energy**: -4.037 eV per atom